Below is a geometry-optimized Tm4Tl3H2 structure, with properties calculated at the PBE level.

The total energy comes out at -139.73 eV per cell. The calculation puts the density of states at the Fermi level at 18.9 states/eV per cell.

Cell: 13.8398 9.1939 6.3311 Å, 90.00 101.84 90.00°
Space group C2/c (No. 15)
Unique sites:
Tm 0.1208 0.2260 0.0159
Tm 0.1978 0.4208 0.5828
Tl 0.0000 0.4865 0.2500
Tl 0.0959 0.1125 0.5317
H 0.2295 0.3732 0.9255